A relaxed Ho2Cu15Ag2 crystal. Source: Alexandria via LeMat-Bulk, functional PBE.

The total magnetic moment is 0.00 μB/f.u. The calculation puts the theoretical density at 9.082 g/cm³. For the formation energy, the calculation gives -101 meV/atom.

Unit cell a=8.6774 b=8.6774 c=12.6072 alpha=90.00 beta=90.00 gamma=120.00
Last column: nearest neighbours and their distance in Å.
Space group R-3m (No. 166, hexagonal axes)
Symmetry-distinct sites (fractional):
1 Ho 0.0000 0.0000 0.1526 (multiplicity 6)  18 Cu 3.03-3.39, 1 Ag 3.05
2 Cu 0.0000 0.3030 0.5000 (multiplicity 18)  8 Cu 2.49-2.63
3 Cu 0.0000 0.5000 0.0000 (multiplicity 9)  8 Cu 2.49-2.54, 2 Ag 2.62
4 Cu 0.0068 0.5034 0.6543 (multiplicity 18)  8 Cu 2.47-2.63, 1 Ag 2.72
5 Ag 0.0000 0.0000 0.3948 (multiplicity 6)  6 Cu 2.62-2.72, 1 Ag 2.65